1.
LaMgCl2, relaxed, DFT PBE; density of states at the Fermi level = 3.71 states/eV/cell; magnetization = 0.0 μB per formula unit; polymorph energy (0 for the lowest one) = 0.0693 eV/atom; uncorrected formation energy = -1.2668 eV/atom
1.0
3.5355 0.0000 0.0000
0.0000 4.7300 0.0000
0.0000 0.0000 14.3554
La Mg Cl
2 2 4
Direct
0.0000 0.0000 0.0000 La
0.5000 0.5000 0.5000 La
0.0000 0.5000 0.7160 Mg
0.5000 0.0000 0.2160 Mg
0.0000 0.0000 0.5200 Cl
0.0000 0.5000 0.3350 Cl
0.5000 0.0000 0.8350 Cl
0.5000 0.5000 0.0200 Cl

***

2.
La2TbSmHo, relaxed, DFT PBE; density of states at the Fermi level = 12.46 states/eV/cell; magnetization = 0.0 μB per formula unit; calculated total energy = -45.29 eV for the cell shown
1.0
6.4850 0.0000 0.0000
0.0000 7.9045 0.0000
0.0000 0.0000 6.7713
La Tb Sm Ho
4 2 2 2
Direct
0.2500 0.2019 0.2096 La
0.2500 0.7981 0.2096 La
0.7500 0.2019 0.7904 La
0.7500 0.7981 0.7904 La
0.2500 0.0000 0.6827 Tb
0.7500 0.0000 0.3173 Tb
0.2500 0.5000 0.9103 Sm
0.7500 0.5000 0.0897 Sm
0.0000 0.5000 0.5000 Ho
0.5000 0.5000 0.5000 Ho

***

3.
SrZn2CdGa, relaxed, DFT PBE; density of states at the Fermi level = 3.68 states/eV/cell; magnetization = 0.0 μB per formula unit; calculated total energy = -19.11 eV for the cell shown
1.0
4.4481 0.0000 0.0000
0.0000 4.4487 0.0000
0.0000 0.0000 11.3173
Sr Zn Cd Ga
2 4 2 2
Direct
0.0000 0.0000 0.0000 Sr
0.5000 0.5000 0.5000 Sr
0.0000 0.0000 0.6127 Zn
0.0000 0.5000 0.2524 Zn
0.5000 0.0000 0.7524 Zn
0.5000 0.5000 0.1127 Zn
0.0000 0.5000 0.7484 Cd
0.5000 0.0000 0.2484 Cd
0.0000 0.0000 0.3870 Ga
0.5000 0.5000 0.8870 Ga

***

4.
La3Tb4Sc, relaxed, DFT PBE; density of states at the Fermi level = 23.41 states/eV/cell; magnetization = 0.0 μB per formula unit; polymorph energy (0 for the lowest one) = 0.0856 eV/atom
1.0
3.5130 0.0000 0.0000
0.0000 11.7868 0.0000
0.0000 0.0000 12.9025
La Tb Sc
6 8 2
Direct
0.0000 0.0000 0.0000 La
0.0000 0.5000 0.2395 La
0.0000 0.5000 0.7605 La
0.5000 0.0000 0.2605 La
0.5000 0.0000 0.7395 La
0.5000 0.5000 0.5000 La
0.0000 0.2425 0.3669 Tb
0.0000 0.2425 0.6331 Tb
0.0000 0.7575 0.3669 Tb
0.0000 0.7575 0.6331 Tb
0.5000 0.2575 0.1331 Tb
0.5000 0.2575 0.8669 Tb
0.5000 0.7425 0.1331 Tb
0.5000 0.7425 0.8669 Tb
0.0000 0.0000 0.5000 Sc
0.5000 0.5000 0.0000 Sc

***

5.
KP4W, relaxed, DFT PBE; density of states at the Fermi level = 3.57 states/eV/cell; magnetization = 1.5 μB per formula unit; calculated total energy = -29.80 eV for the cell shown
1.0
0.0000 3.7278 3.7278
3.7278 0.0000 3.7278
3.7278 3.7278 0.0000
K P W
1 4 1
Direct
0.0000 0.0000 0.0000 K
0.1521 0.6160 0.6160 P
0.6160 0.1521 0.6160 P
0.6160 0.6160 0.1521 P
0.6160 0.6160 0.6160 P
0.2500 0.2500 0.2500 W

***

Repeat the first record exactly.
LaMgCl2, relaxed, DFT PBE; density of states at the Fermi level = 3.71 states/eV/cell; magnetization = 0.0 μB per formula unit; polymorph energy (0 for the lowest one) = 0.0693 eV/atom; uncorrected formation energy = -1.2668 eV/atom
1.0
3.5355 0.0000 0.0000
0.0000 4.7300 0.0000
0.0000 0.0000 14.3554
La Mg Cl
2 2 4
Direct
0.0000 0.0000 0.0000 La
0.5000 0.5000 0.5000 La
0.0000 0.5000 0.7160 Mg
0.5000 0.0000 0.2160 Mg
0.0000 0.0000 0.5200 Cl
0.0000 0.5000 0.3350 Cl
0.5000 0.0000 0.8350 Cl
0.5000 0.5000 0.0200 Cl

***

Question: The lowest density of states at the Fermi level belongs to which entry?
Answer: KP4W

***

Question: What is the formula in the fourth record?
Answer: La3Tb4Sc